Computed, not measured: a relaxed structure of CaReRu2Se at the GGA-PBE level of DFT.

- Formation energy without anion corrections: 2.5221 eV per atom

Unit cell a=4.5205 b=4.9091 c=4.5205 alpha=90.00 beta=90.00 gamma=90.00
Last column: nearest neighbours and their distance in Å.
Sites, in units of the cell vectors:
Ru 0.5000 0.0000 0.0000  2 Ca 2.26
Ru 0.0000 0.0000 0.5000  2 Ca 2.26
Se 0.0000 0.5000 0.0000  2 Ca 2.45
Ca 0.0000 0.0000 0.0000  4 Ru 2.26, 2 Se 2.45
Re 0.5000 0.5000 0.5000  4 Se 3.20, 8 Ru 3.34

Computed, not measured: a relaxed structure of Ca2ReSnRu at the GGA-PBE level of DFT.

- E_form: 1.200 eV/atom

Unit cell a=5.4139 b=5.1191 c=5.4139 alpha=90.00 beta=90.00 gamma=90.00
Last column: nearest neighbours and their distance in Å.
Sites, in units of the cell vectors:
Re 0.0000 0.0000 0.0000  2 Sn 2.56, 4 Ca 2.71
Ru 0.5000 0.5000 0.5000  8 Ca 3.73, 4 Sn 3.83
Sn 0.0000 0.5000 0.0000  2 Re 2.56
Ca 0.0000 0.0000 0.5000  2 Re 2.71
Ca 0.5000 0.0000 0.0000  2 Re 2.71

Computed, not measured: a relaxed structure of CaTaRe2Ru at the GGA-PBE level of DFT.

- E_form: 1.739 eV/atom

Unit cell a=4.7185 b=4.7158 c=4.7185 alpha=90.00 beta=90.00 gamma=90.00
Last column: nearest neighbours and their distance in Å.
Sites, in units of the cell vectors:
Ru 0.0000 0.0000 0.0000  2 Ca 2.36, 4 Re 2.36
Re 0.5000 0.0000 0.0000  2 Ru 2.36
Re 0.0000 0.0000 0.5000  2 Ru 2.36
Ta 0.5000 0.5000 0.5000  8 Re 3.34, 4 Ca 3.34
Ca 0.0000 0.5000 0.0000  2 Ru 2.36

Computed, not measured: a relaxed structure of CaTiReRu2 at the GGA-PBE level of DFT.

- E_form: 2.265 eV/atom

Unit cell a=4.5102 b=4.6533 c=4.5102 alpha=90.00 beta=90.00 gamma=90.00
Last column: nearest neighbours and their distance in Å.
Sites, in units of the cell vectors:
Ca 0.0000 0.0000 0.0000  4 Ru 2.26, 2 Re 2.33
Ru 0.0000 0.0000 0.5000  2 Ca 2.26
Ru 0.5000 0.0000 0.0000  2 Ca 2.26
Ti 0.5000 0.5000 0.5000  4 Re 3.19, 8 Ru 3.24
Re 0.0000 0.5000 0.0000  2 Ca 2.33